Material: Mo2HBr
Method: DFT, PBE
State: optimized geometry

Computed properties:
**Energy relative to the lowest polymorph listed for this composition**: 0 meV/atom
**Electronic total energy**: -47.99 eV per cell

Unit cell a=6.1808 b=6.1808 c=6.1808 alpha=133.64 beta=133.64 gamma=67.66
Closest atoms and distances in Å follow each position.
Fractional positions:
Mo (0.3750, 0.2400, 0.3650)  2 H 1.85
Mo (0.7600, 0.1250, 0.1350)  2 H 1.85
Mo (0.8750, 0.0100, 0.6350)  2 H 1.85
Mo (0.9900, 0.6250, 0.8650)  2 H 1.85
H (0.0000, 0.0000, 0.0000)  4 Mo 1.85
H (0.7500, 0.2500, 0.5000)  4 Mo 1.85
Br (0.2500, 0.7500, 0.5000)  4 Mo 2.58
Br (0.5000, 0.5000, 0.0000)  4 Mo 2.58